Below is BaIr2 after structural relaxation, with properties calculated at the PBE level.

## Properties
calculated volume: 247 Å³ per cell
DFT total energy: -6.54 eV per atom
magnetization: 0.0 μB per formula unit

a = 5.590 Å, b = 5.590 Å, c = 9.124 Å
α = 90.00°, β = 90.00°, γ = 120.00°
Fractional coordinates of all 12 atoms:
Ba  0.667  0.333  0.067
Ba  0.667  0.333  0.433
Ba  0.333  0.667  0.567
Ba  0.333  0.667  0.933
Ir  0.000  0.000  0.000
Ir  0.166  0.332  0.250
Ir  0.166  0.834  0.250
Ir  0.668  0.834  0.250
Ir  0.000  0.000  0.500
Ir  0.332  0.166  0.750
Ir  0.834  0.166  0.750
Ir  0.834  0.668  0.750

***

Below is Ba2ReP6Pd after structural relaxation, with properties calculated at the PBE level.

## Properties
calculated volume: 498 Å³ per cell
DFT total energy: -5.68 eV per atom
magnetization: 0.0 μB per formula unit

a = 7.213 Å, b = 7.213 Å, c = 11.060 Å
α = 90.00°, β = 90.00°, γ = 120.00°
Fractional coordinates of all 20 atoms:
Ba  0.333  0.667  0.075
Ba  0.333  0.667  0.425
Ba  0.667  0.333  0.575
Ba  0.667  0.333  0.925
P  0.781  0.120  0.148
P  0.339  0.219  0.148
P  0.880  0.661  0.148
P  0.339  0.120  0.352
P  0.880  0.219  0.352
P  0.781  0.661  0.352
P  0.219  0.339  0.648
P  0.120  0.781  0.648
P  0.661  0.880  0.648
P  0.120  0.339  0.852
P  0.661  0.781  0.852
P  0.219  0.880  0.852
Pd  0.000  0.000  0.250
Pd  0.000  0.000  0.750
Re  0.667  0.333  0.250
Re  0.333  0.667  0.750